PuNiHg2O6 | PBE+U | relaxed

Properties
As for the total moment: 2.0 μB per formula unit. The total DFT energy (no corrections) is -5.923 eV/atom.

Cell and atoms, written as CIF:
```
data_PuNiHg2O6
_chemical_formula_sum 'Pu1 Ni1 Hg2 O6'
_cell_length_a 5.331
_cell_length_b 5.722
_cell_length_c 5.942
_cell_angle_alpha 113.28
_cell_angle_beta 113.76
_cell_angle_gamma 90.42
_symmetry_space_group_name_H-M 'P 1'
_symmetry_Int_Tables_number 1
_symmetry_space_group_name_Hall 'P 1'
loop_
_atom_site_label
_atom_site_fract_x
_atom_site_fract_y
_atom_site_fract_z
Pu1 0.000 0.000 0.000
Ni1 0.500 0.500 0.000
Hg1 0.337 0.732 0.494
Hg2 0.663 0.268 0.506
O1 0.039 0.178 0.356
O2 0.264 0.734 0.120
O3 0.393 0.272 0.129
O4 0.607 0.728 0.871
O5 0.736 0.266 0.880
O6 0.961 0.822 0.644
```